No. 1
DFT (PBE) results for a geometry-optimized Nd2ErAl2Pd5 structure.

## Properties
Calculated volume ... 20.00 Å³/atom
Density of states at the Fermi level ... 13.901 states/eV/cell
Formation energy ... -0.8228 eV/atom
Total magnetization ... 0.00 μB/f.u.

Unit cell a=10.3601 b=10.3601 c=3.7272 alpha=90.00 beta=90.00 gamma=90.00
With the nearest neighbours (Å) after each atom.
Space group P4/mbm (No. 127)
Asymmetric unit:
Nd  0.1779  0.3221  0.0000 [4 per cell]  3 Al 2.98-3.13, 10 Pd 3.20-3.31
Er  0.0000  0.0000  0.0000 [2 per cell]  8 Pd 2.99
Al  0.1185  0.6185  0.0000 [4 per cell]  6 Pd 2.55-2.59
Pd  0.0000  0.5000  0.5000 [2 per cell]  4 Al 2.55
Pd  0.0646  0.7832  0.5000 [8 per cell]  2 Al 2.59



No. 2
DFT (PBE) results for a geometry-optimized La2TiPt2 structure.

## Properties
Calculated volume ... 23.64 Å³/atom
Density of states at the Fermi level ... 7.860 states/eV/cell
Formation energy ... -0.7818 eV/atom
Total magnetization ... 0.01 μB/f.u.

Unit cell a=7.1516 b=7.1516 c=4.6226 alpha=90.00 beta=90.00 gamma=90.00
With the nearest neighbours (Å) after each atom.
Space group P4/mbm (No. 127)
Asymmetric unit:
La  0.1687  0.3313  0.0000 [4 per cell]  6 Pt 2.98-3.23
Ti  0.0000  0.0000  0.5000 [2 per cell]  4 Pt 2.74
Pt  0.1457  0.6457  0.5000 [4 per cell]  2 Ti 2.74, 1 Pt 2.95, 2 La 2.98



No. 3
DFT (PBE) results for a geometry-optimized Cs3Pu2Te6Pb structure.

## Properties
Calculated volume ... 41.88 Å³/atom
Density of states at the Fermi level ... 54.083 states/eV/cell
Total magnetization ... 9.00 μB/f.u.
ΔE_f (raw) ... -0.960 eV per atom

Unit cell a=8.1159 b=14.0396 c=9.2235 alpha=90.00 beta=106.99 gamma=90.00
With the nearest neighbours (Å) after each atom.
Space group C2/m (No. 12)
Asymmetric unit:
Cs  0.0000  0.0000  0.0000 [2 per cell]  6 Te 3.76-3.89
Cs  0.0000  0.3402  0.0000 [4 per cell]  6 Te 3.80-3.90
Pu  0.0000  0.1674  0.5000 [4 per cell]  6 Te 3.12
Te  0.2115  0.0000  0.6876 [4 per cell]  2 Pu 3.12, 1 Pb 3.29
Te  0.2393  0.3245  0.6908 [8 per cell]  2 Pu 3.12, 1 Pb 3.31
Pb  0.0000  0.5000  0.5000 [2 per cell]  6 Te 3.29-3.31



No. 4
DFT (PBE) results for a geometry-optimized Sr4FeP structure.

## Properties
Calculated volume ... 36.26 Å³/atom
Density of states at the Fermi level ... 42.950 states/eV/cell
Formation energy ... 0.9437 eV/atom
Total magnetization ... 1.39 μB/f.u.

Unit cell a=9.5474 b=9.5474 c=9.5474 alpha=90.00 beta=90.00 gamma=90.00
With the nearest neighbours (Å) after each atom.
Space group F-43m (No. 216)
Asymmetric unit:
Sr  0.1253  0.1253  0.1253 [16 per cell]  6 Sr 3.37-3.38
Fe  0.2500  0.2500  0.7500 [4 per cell]  12 Sr 3.96, 4 P 4.13
P  0.0000  0.0000  0.5000 [4 per cell]  12 Sr 3.96, 4 Fe 4.13